{"formula": "Mg2InTc", "functional": "PBE-GGA", "state": "optimized geometry", "e_form_ev_per_atom": 0.12, "sg": "Immm", "final_energy_ev_per_atom": -3.9562, "volume_a3_per_atom": 18.635, "lattice": [[5.6139, -0.0112, 0.0039], [4.6190, 3.1908, 0.0039], [1.8755, 0.5828, 4.1506]], "species": ["Mg", "Mg", "Tc", "In"], "fractional_positions": [[0.0191, 0.0191, 0.9808], [0.4809, 0.4809, 0.5192], [0.7500, 0.7500, 0.7500], [0.2500, 0.2500, 0.2500]]}



{"formula": "Ho4Pd2Ru", "functional": "PBE-GGA", "state": "optimized geometry", "polymorph_energy_kj_per_mol_fu": 8, "e_form_ev_per_atom": -0.63, "sg": "Cmmm", "final_energy_ev_per_atom": -6.0559, "volume_a3_per_atom": 23.215, "lattice": [[4.7932, 0.0000, 0.0000], [0.0000, 5.5201, -2.3770], [0.0000, 0.3264, 6.0013]], "species": ["Pd", "Ho", "Ho", "Ru", "Ho", "Ho", "Pd"], "fractional_positions": [[0.0000, 0.2530, 0.7470], [0.5000, 0.0000, 0.5000], [0.5000, 0.5000, 0.0000], [0.5000, 0.5000, 0.5000], [0.0000, 0.2536, 0.2536], [0.0000, 0.7464, 0.7464], [0.0000, 0.7470, 0.2530]]}